Here is crystalline KZr2W at its relaxed geometry from Alexandria via LeMat-Bulk. Energies are from PBE.

Computed properties:
ΔH_f (0 K) ... 116.07 kJ per mole of atoms
E above lowest polymorph ... 0.835 eV per atom
Total magnetic moment ... 0.0 μB/f.u.
SG ... Pmmm, No. 47

Unit cell a=4.894 b=4.916 c=3.688 alpha=90.00 beta=90.00 gamma=90.00
Fractional positions:
K: 0.500 0.000 0.500
W: 0.000 0.500 0.500
Zr: 0.000 0.000 0.000
Zr: 0.500 0.500 0.000

=====

Here is crystalline KZr2W at its relaxed geometry from Alexandria via LeMat-Bulk. Energies are from PBE.

Computed properties:
ΔH_f (0 K) ... 131.34 kJ per mole of atoms
E above lowest polymorph ... 0.993 eV per atom
Total magnetic moment ... 0.2 μB/f.u.
SG ... F-43m, No. 216

Unit cell a=5.046 b=5.046 c=5.046 alpha=60.00 beta=60.00 gamma=60.00
Fractional positions:
K: 0.500 0.500 0.500
W: 0.750 0.750 0.750
Zr: 0.000 0.000 0.000
Zr: 0.250 0.250 0.250

=====

Q: What is the formula in the second record?
A: KZr2W